Compound: FeW2O8
Source: Alexandria via LeMat-Bulk
Functional: PBE with a Hubbard U
Structure: optimized geometry

Values from the calculation:
Total moment (μB per formula unit): 6.1
Volume (A^3/atom): 12.71
ΔE to the lowest computed polymorph (meV per atom): 24
SG: P2/c, No. 13
Raw total energy (eV/atom): -7.034
DOS at the Fermi energy (states/eV/f.u.): 5.9

Cell lengths 5.0745, 5.8356, 10.6836 Å; angles 90.00, 117.91, 90.00 degrees
Positions (direct):
Fe 0.0000 0.1559 0.2500
Fe 0.0000 0.8441 0.7500
W 0.2447 0.3264 0.9967
W 0.2447 0.6736 0.4967
W 0.7553 0.3264 0.5033
W 0.7553 0.6736 0.0033
O 0.1684 0.3956 0.6081
O 0.1684 0.6044 0.1081
O 0.2191 0.1583 0.1364
O 0.2191 0.8417 0.6364
O 0.2453 0.0995 0.8805
O 0.2453 0.9005 0.3805
O 0.3159 0.3910 0.3930
O 0.3159 0.6090 0.8930
O 0.6841 0.3910 0.1070
O 0.6841 0.6090 0.6070
O 0.7547 0.0995 0.6195
O 0.7547 0.9005 0.1195
O 0.7809 0.1583 0.3636
O 0.7809 0.8417 0.8636
O 0.8316 0.3956 0.8919
O 0.8316 0.6044 0.3919